w.
Entry from the Alexandria database: crystalline CsCd4 at its relaxed geometry (PBE).

```
data_CsCd4
_chemical_formula_sum 'Cs2 Cd8'
_symmetry_space_group_name_H-M 'I 4/m m m'
_symmetry_Int_Tables_number 139
_symmetry_space_group_name_Hall '-I 4 2'
_cell_length_a 5.361
_cell_length_b 5.361
_cell_length_c 11.545
_cell_angle_alpha 90.00
_cell_angle_beta 90.00
_cell_angle_gamma 90.00
loop_
_atom_site_label
_atom_site_fract_x
_atom_site_fract_y
_atom_site_fract_z
Cs1 0.000 0.000 0.000
Cd1 0.000 0.000 0.370
Cd2 0.000 0.500 0.250
```

Total moment in μB per cell: 0.0
Crystal system: tetragonal



x.
Entry from the Alexandria database: crystalline CsCd4 at its relaxed geometry (PBE).

```
data_CsCd4
_chemical_formula_sum 'Cs1 Cd4'
_symmetry_space_group_name_H-M 'P 4/m m m'
_symmetry_Int_Tables_number 123
_symmetry_space_group_name_Hall '-P 4 2'
_cell_length_a 5.733
_cell_length_b 5.733
_cell_length_c 5.653
_cell_angle_alpha 90.00
_cell_angle_beta 90.00
_cell_angle_gamma 90.00
loop_
_atom_site_label
_atom_site_fract_x
_atom_site_fract_y
_atom_site_fract_z
Cs1 0.000 0.000 0.000
Cd1 0.000 0.500 0.500
Cd2 0.500 0.500 0.000
Cd3 0.500 0.500 0.500
```

Total moment in μB per cell: 0.0
Crystal system: tetragonal



y.
Entry from the Alexandria database: crystalline CsCd4 at its relaxed geometry (PBE).

```
data_CsCd4
_chemical_formula_sum 'Cs1 Cd4'
_symmetry_space_group_name_H-M 'P m -3 m'
_symmetry_Int_Tables_number 221
_symmetry_space_group_name_Hall '-P 4 2 3'
_cell_length_a 7.384
_cell_length_b 7.384
_cell_length_c 7.384
_cell_angle_alpha 90.00
_cell_angle_beta 90.00
_cell_angle_gamma 90.00
loop_
_atom_site_label
_atom_site_fract_x
_atom_site_fract_y
_atom_site_fract_z
Cs1 0.000 0.000 0.000
Cd1 0.000 0.000 0.500
Cd2 0.500 0.500 0.500
```

Total moment in μB per cell: 0.0
Crystal system: cubic



The winner here is w, beating the second structure by 9.3 kJ/mol of atoms.



w.
Entry from the Alexandria database: crystalline CsCd12 at its relaxed geometry (PBE).

```
data_CsCd12
_chemical_formula_sum 'Cs2 Cd24'
_symmetry_space_group_name_H-M 'I 4/m m m'
_symmetry_Int_Tables_number 139
_symmetry_space_group_name_Hall '-I 4 2'
_cell_length_a 10.504
_cell_length_b 10.504
_cell_length_c 6.033
_cell_angle_alpha 90.00
_cell_angle_beta 90.00
_cell_angle_gamma 90.00
loop_
_atom_site_label
_atom_site_fract_x
_atom_site_fract_y
_atom_site_fract_z
Cs1 0.000 0.000 0.000
Cd1 0.000 0.230 0.500
Cd2 0.000 0.356 0.000
Cd3 0.250 0.250 0.250
```

Total moment in μB per cell: 0.0
Crystal system: tetragonal



x.
Entry from the Alexandria database: crystalline CsCd12 at its relaxed geometry (PBE).

```
data_CsCd12
_chemical_formula_sum 'Cs4 Cd48'
_symmetry_space_group_name_H-M 'F m -3 m'
_symmetry_Int_Tables_number 225
_symmetry_space_group_name_Hall '-F 4 2 3'
_cell_length_a 12.297
_cell_length_b 12.297
_cell_length_c 12.297
_cell_angle_alpha 90.00
_cell_angle_beta 90.00
_cell_angle_gamma 90.00
loop_
_atom_site_label
_atom_site_fract_x
_atom_site_fract_y
_atom_site_fract_z
Cs1 0.000 0.000 0.000
Cd1 0.000 0.170 0.330
```

Total moment in μB per cell: 0.0
Crystal system: cubic



The winner here is w, beating the second structure by 16.4 kJ/mol of atoms.



w.
Entry from the Alexandria database: crystalline CsCd2Cu at its relaxed geometry (PBE).

```
data_CsCd2Cu
_chemical_formula_sum 'Cs4 Cd8 Cu4'
_symmetry_space_group_name_H-M 'F m -3 m'
_symmetry_Int_Tables_number 225
_symmetry_space_group_name_Hall '-F 4 2 3'
_cell_length_a 8.064
_cell_length_b 8.064
_cell_length_c 8.064
_cell_angle_alpha 90.00
_cell_angle_beta 90.00
_cell_angle_gamma 90.00
loop_
_atom_site_label
_atom_site_fract_x
_atom_site_fract_y
_atom_site_fract_z
Cs1 0.000 0.000 0.000
Cd1 0.250 0.250 0.250
Cu1 0.000 0.000 0.500
```

Total moment in μB per cell: 0.0
Crystal system: cubic



x.
Entry from the Alexandria database: crystalline CsCd2Cu at its relaxed geometry (PBE).

```
data_CsCd2Cu
_chemical_formula_sum 'Cs4 Cd8 Cu4'
_symmetry_space_group_name_H-M 'I 41/a m d'
_symmetry_Int_Tables_number 141
_cell_length_a 6.210
_cell_length_b 6.210
_cell_length_c 16.606
_cell_angle_alpha 90.00
_cell_angle_beta 90.00
_cell_angle_gamma 90.00
loop_
_symmetry_equiv_pos_as_xyz
'x,y,z'
'-x,-y,-z'
'-y+1/4,x+3/4,z+1/4'
'y+1/4,-x+3/4,-z+1/4'
'-x+1/2,-y,z+1/2'
'x+1/2,y,-z+1/2'
'y+1/4,-x+1/4,z+3/4'
'-y+1/4,x+1/4,-z+3/4'
'x,-y,-z'
'-x,y,z'
'-y+1/4,-x+1/4,-z+3/4'
'y+1/4,x+1/4,z+3/4'
'-x+1/2,y,-z+1/2'
'x+1/2,-y,z+1/2'
'y+1/4,x+3/4,-z+1/4'
'-y+1/4,-x+3/4,z+1/4'
'x+1/2,y+1/2,z+1/2'
'-x+1/2,-y+1/2,-z+1/2'
'-y+3/4,x+1/4,z+3/4'
'y+3/4,-x+1/4,-z+3/4'
'-x,-y+1/2,z'
'x,y+1/2,-z'
'y+3/4,-x+3/4,z+1/4'
'-y+3/4,x+3/4,-z+1/4'
'x+1/2,-y+1/2,-z+1/2'
'-x+1/2,y+1/2,z+1/2'
'-y+3/4,-x+3/4,-z+1/4'
'y+3/4,x+3/4,z+1/4'
'-x,y+1/2,-z'
'x,-y+1/2,z'
'y+3/4,x+1/4,-z+3/4'
'-y+3/4,-x+1/4,z+3/4'
loop_
_atom_site_label
_atom_site_fract_x
_atom_site_fract_y
_atom_site_fract_z
Cs1 0.000 0.250 0.375
Cd1 0.000 0.000 0.000
Cu1 0.000 0.250 0.875
```

Total moment in μB per cell: 0.0
Crystal system: tetragonal



y.
Entry from the Alexandria database: crystalline CsCd2Cu at its relaxed geometry (PBE).

```
data_CsCd2Cu
_chemical_formula_sum 'Cs3 Cd6 Cu3'
_symmetry_space_group_name_H-M 'R -3 m'
_symmetry_Int_Tables_number 166
_symmetry_space_group_name_Hall '-R 3 2"'
_cell_length_a 4.7953
_cell_length_b 4.7953
_cell_length_c 20.4580
_cell_angle_alpha 90.00
_cell_angle_beta 90.00
_cell_angle_gamma 120.00
loop_
_atom_site_label
_atom_site_fract_x
_atom_site_fract_y
_atom_site_fract_z
Cs1 0.0000 0.0000 0.0000
Cd1 0.0000 0.0000 0.1876
Cu1 0.0000 0.0000 0.5000
```

Total moment in μB per cell: 0.0
Crystal system: trigonal



The winner here is y, beating the second structure by 9.5 kJ/mol of atoms.



w.
Entry from the Alexandria database: crystalline Cs2CdCu at its relaxed geometry (PBE).

```
data_Cs2CdCu
_chemical_formula_sum 'Cs8 Cd4 Cu4'
_symmetry_space_group_name_H-M 'F m -3 m'
_symmetry_Int_Tables_number 225
_symmetry_space_group_name_Hall '-F 4 2 3'
_cell_length_a 9.104
_cell_length_b 9.104
_cell_length_c 9.104
_cell_angle_alpha 90.00
_cell_angle_beta 90.00
_cell_angle_gamma 90.00
loop_
_atom_site_label
_atom_site_fract_x
_atom_site_fract_y
_atom_site_fract_z
Cs1 0.250 0.250 0.250
Cd1 0.000 0.000 0.000
Cu1 0.000 0.000 0.500
```

Total moment in μB per cell: 0.0
Crystal system: cubic



x.
Entry from the Alexandria database: crystalline Cs2CdCu at its relaxed geometry (PBE).

```
data_Cs2CdCu
_chemical_formula_sum 'Cs8 Cd4 Cu4'
_symmetry_space_group_name_H-M 'I -4 2 d'
_symmetry_Int_Tables_number 122
_symmetry_space_group_name_Hall 'I -4 2bw'
_cell_length_a 10.180
_cell_length_b 10.180
_cell_length_c 8.072
_cell_angle_alpha 90.00
_cell_angle_beta 90.00
_cell_angle_gamma 90.00
loop_
_atom_site_label
_atom_site_fract_x
_atom_site_fract_y
_atom_site_fract_z
Cs1 0.211 0.750 0.125
Cd1 0.000 0.000 0.500
Cu1 0.000 0.000 0.000
```

Total moment in μB per cell: 0.0
Crystal system: tetragonal



The winner here is w, beating the second structure by 7.0 kJ/mol of atoms.



w.
Entry from the Alexandria database: crystalline Cs2CdF at its relaxed geometry (PBE).

```
data_Cs2CdF
_chemical_formula_sum 'Cs8 Cd4 F4'
_symmetry_space_group_name_H-M 'I -4 2 d'
_symmetry_Int_Tables_number 122
_symmetry_space_group_name_Hall 'I -4 2bw'
_cell_length_a 8.844
_cell_length_b 8.844
_cell_length_c 10.337
_cell_angle_alpha 90.00
_cell_angle_beta 90.00
_cell_angle_gamma 90.00
loop_
_atom_site_label
_atom_site_fract_x
_atom_site_fract_y
_atom_site_fract_z
Cs1 0.137 0.250 0.125
Cd1 0.000 0.000 0.500
F1 0.000 0.000 0.000
```

Total moment in μB per cell: 0.0
Crystal system: tetragonal



x.
Entry from the Alexandria database: crystalline Cs2CdF at its relaxed geometry (PBE).

```
data_Cs2CdF
_chemical_formula_sum 'Cs2 Cd1 F1'
_symmetry_space_group_name_H-M 'P 4/m m m'
_symmetry_Int_Tables_number 123
_symmetry_space_group_name_Hall '-P 4 2'
_cell_length_a 3.906
_cell_length_b 3.906
_cell_length_c 9.748
_cell_angle_alpha 90.00
_cell_angle_beta 90.00
_cell_angle_gamma 90.00
loop_
_atom_site_label
_atom_site_fract_x
_atom_site_fract_y
_atom_site_fract_z
Cs1 0.000 0.000 0.188
Cd1 0.500 0.500 0.500
F1 0.500 0.500 0.000
```

Total moment in μB per cell: 0.0
Crystal system: tetragonal



y.
Entry from the Alexandria database: crystalline Cs2CdF at its relaxed geometry (PBE).

```
data_Cs2CdF
_chemical_formula_sum 'Cs6 Cd3 F3'
_symmetry_space_group_name_H-M 'R -3 m'
_symmetry_Int_Tables_number 166
_symmetry_space_group_name_Hall '-R 3 2"'
_cell_length_a 4.4443
_cell_length_b 4.4443
_cell_length_c 28.9980
_cell_angle_alpha 90.00
_cell_angle_beta 90.00
_cell_angle_gamma 120.00
loop_
_atom_site_label
_atom_site_fract_x
_atom_site_fract_y
_atom_site_fract_z
Cs1 0.0000 0.0000 0.2264
Cd1 0.0000 0.0000 0.0000
F1 0.0000 0.0000 0.5000
```

Total moment in μB per cell: 0.0
Crystal system: trigonal



z.
Entry from the Alexandria database: crystalline Cs2CdF at its relaxed geometry (PBE).

```
data_Cs2CdF
_chemical_formula_sum 'Cs8 Cd4 F4'
_symmetry_space_group_name_H-M 'F m -3 m'
_symmetry_Int_Tables_number 225
_symmetry_space_group_name_Hall '-F 4 2 3'
_cell_length_a 8.727
_cell_length_b 8.727
_cell_length_c 8.727
_cell_angle_alpha 90.00
_cell_angle_beta 90.00
_cell_angle_gamma 90.00
loop_
_atom_site_label
_atom_site_fract_x
_atom_site_fract_y
_atom_site_fract_z
Cs1 0.250 0.250 0.250
Cd1 0.000 0.000 0.000
F1 0.000 0.000 0.500
```

Total moment in μB per cell: 0.0
Crystal system: cubic



The winner here is w, beating the second structure by 0.7 kJ/mol of atoms.